{
  "formula": "SmPa2C3",
  "functional": "PBE",
  "state": "optimized geometry",
  "cell": [[3.645, 0.000, 0.000], [0.000, 5.152, 0.000], [0.000, 0.000, 10.878]],
  "species": ["Sm", "Sm", "Pa", "Pa", "Pa", "Pa", "C", "C", "C", "C", "C", "C"],
  "fractional_positions": [[0.000, 0.000, 0.000], [0.500, 0.500, 0.500], [0.000, 0.000, 0.334], [0.000, 0.000, 0.666], [0.500, 0.500, 0.166], [0.500, 0.500, 0.834], [0.000, 0.500, 0.000], [0.000, 0.500, 0.315], [0.000, 0.500, 0.685], [0.500, 0.000, 0.185], [0.500, 0.000, 0.500], [0.500, 0.000, 0.815]],
  "e_form_ev_per_atom": -0.36
}

=====

{
  "formula": "Nd2ErAg4",
  "functional": "PBE",
  "state": "optimized geometry",
  "cell": [[5.368, 0.000, 0.000], [0.000, 5.368, 0.000], [0.000, 0.000, 12.939]],
  "species": ["Nd", "Nd", "Nd", "Nd", "Er", "Er", "Ag", "Ag", "Ag", "Ag", "Ag", "Ag", "Ag", "Ag"],
  "fractional_positions": [[0.000, 0.000, 0.220], [0.000, 0.000, 0.780], [0.500, 0.500, 0.280], [0.500, 0.500, 0.720], [0.000, 0.000, 0.500], [0.500, 0.500, 0.000], [0.000, 0.500, 0.113], [0.000, 0.500, 0.387], [0.000, 0.500, 0.613], [0.000, 0.500, 0.887], [0.500, 0.000, 0.113], [0.500, 0.000, 0.387], [0.500, 0.000, 0.613], [0.500, 0.000, 0.887]],
  "e_form_ev_per_atom": -0.10
}

=====

{
  "formula": "ZrZnIn2",
  "functional": "PBE",
  "state": "optimized geometry",
  "cell": [[4.194, 0.000, 0.000], [0.000, 4.194, 0.000], [0.000, 0.000, 9.636]],
  "species": ["Zr", "Zr", "Zn", "Zn", "In", "In", "In", "In"],
  "fractional_positions": [[0.000, 0.000, 0.000], [0.500, 0.500, 0.500], [0.000, 0.500, 0.250], [0.500, 0.000, 0.750], [0.000, 0.000, 0.500], [0.000, 0.500, 0.750], [0.500, 0.000, 0.250], [0.500, 0.500, 0.000]],
  "e_form_ev_per_atom": -0.13
}

=====

{
  "formula": "Pm4SbPd2",
  "functional": "PBE",
  "state": "optimized geometry",
  "cell": [[0.000, 6.642, 4.446], [6.637, 0.000, 4.446], [6.637, 6.642, 0.000]],
  "species": ["Pm", "Pm", "Pm", "Pm", "Pm", "Pm", "Pm", "Pm", "Sb", "Sb", "Pd", "Pd", "Pd", "Pd"],
  "fractional_positions": [[0.062, 0.938, 0.178], [0.072, 0.428, 0.188], [0.177, 0.533, 0.711], [0.428, 0.072, 0.312], [0.533, 0.177, 0.579], [0.539, 0.671, 0.073], [0.671, 0.539, 0.717], [0.938, 0.062, 0.822], [0.677, 0.677, 0.323], [0.927, 0.927, 0.573], [0.191, 0.414, 0.449], [0.304, 0.801, 0.836], [0.414, 0.191, 0.946], [0.801, 0.304, 0.059]],
  "e_form_raw_ev_per_atom": -0.717
}

=====

Copy entry 3 word for word.
{
  "formula": "ZrZnIn2",
  "functional": "PBE",
  "state": "optimized geometry",
  "cell": [[4.194, 0.000, 0.000], [0.000, 4.194, 0.000], [0.000, 0.000, 9.636]],
  "species": ["Zr", "Zr", "Zn", "Zn", "In", "In", "In", "In"],
  "fractional_positions": [[0.000, 0.000, 0.000], [0.500, 0.500, 0.500], [0.000, 0.500, 0.250], [0.500, 0.000, 0.750], [0.000, 0.000, 0.500], [0.000, 0.500, 0.750], [0.500, 0.000, 0.250], [0.500, 0.500, 0.000]],
  "e_form_ev_per_atom": -0.13
}

=====

Repeat the first record exactly.
{
  "formula": "SmPa2C3",
  "functional": "PBE",
  "state": "optimized geometry",
  "cell": [[3.645, 0.000, 0.000], [0.000, 5.152, 0.000], [0.000, 0.000, 10.878]],
  "species": ["Sm", "Sm", "Pa", "Pa", "Pa", "Pa", "C", "C", "C", "C", "C", "C"],
  "fractional_positions": [[0.000, 0.000, 0.000], [0.500, 0.500, 0.500], [0.000, 0.000, 0.334], [0.000, 0.000, 0.666], [0.500, 0.500, 0.166], [0.500, 0.500, 0.834], [0.000, 0.500, 0.000], [0.000, 0.500, 0.315], [0.000, 0.500, 0.685], [0.500, 0.000, 0.185], [0.500, 0.000, 0.500], [0.500, 0.000, 0.815]],
  "e_form_ev_per_atom": -0.36
}